Here is a geometry-optimized K2NaSn6 structure from the Alexandria database. Energies are from PBE.

POSCAR file:
```
K2NaSn6
1.0
7.0613 0.2847 -0.4646
-0.4390 6.2515 -2.8414
0.4846 -0.6447 6.8384
K Na Sn
2 1 6
Direct
0.1395 0.6666 0.3331 K
0.8605 0.3334 0.6669 K
0.0000 0.0000 0.0000 Na
0.6492 0.8231 0.1774 Sn
0.6503 0.8226 0.6451 Sn
0.6492 0.3543 0.1774 Sn
0.3508 0.1769 0.8226 Sn
0.3497 0.1774 0.3549 Sn
0.3508 0.6457 0.8226 Sn
```

## Properties
E_form in eV per atom: -0.18


Here is a geometry-optimized KNaSn4 structure from the Alexandria database. Energies are from PBE.

POSCAR file:
```
KNaSn4
1.0
6.4280 0.0000 0.0000
3.2140 5.5668 0.0000
3.2140 1.8556 5.2484
Na K Sn
1 1 4
Direct
0.0000 0.0000 0.0000 Na
0.2500 0.2500 0.2500 K
0.6254 0.6254 0.1239 Sn
0.6254 0.1239 0.6254 Sn
0.6254 0.6254 0.6254 Sn
0.1239 0.6254 0.6254 Sn
```

## Properties
Relative energy among the computed polymorphs in meV/atom: 68
E_form in eV per atom: -0.10


Here is a geometry-optimized KNa2Sn structure from the Alexandria database. Energies are from PBE.

POSCAR file:
```
KNa2Sn
1.0
6.2904 0.0000 0.0000
0.0000 11.1059 0.0497
0.0000 -5.0522 7.6862
K Na Sn
4 8 4
Direct
0.4108 0.1600 0.4441 K
0.9108 0.3400 0.5559 K
0.5892 0.8400 0.5559 K
0.0892 0.6600 0.4441 K
0.7551 0.0646 0.0982 Na
0.2551 0.4354 0.9018 Na
0.2449 0.9354 0.9018 Na
0.7449 0.5646 0.0982 Na
0.8932 0.7079 0.8775 Na
0.3932 0.7921 0.1225 Na
0.1068 0.2921 0.1225 Na
0.6068 0.2079 0.8775 Na
0.5729 0.4151 0.3013 Sn
0.0729 0.0849 0.6987 Sn
0.4271 0.5849 0.6987 Sn
0.9271 0.9151 0.3013 Sn
```

## Properties
E_form in eV per atom: -0.10


Here is a geometry-optimized KNa2Sn structure from the Alexandria database. Energies are from PBE.

POSCAR file:
```
KNa2Sn
1.0
4.1418 0.0000 0.0000
0.0000 4.1418 0.0000
0.0000 0.0000 8.4999
Na K Sn
2 1 1
Direct
0.0000 0.0000 0.8172 Na
0.0000 0.0000 0.1828 Na
0.5000 0.5000 0.5000 K
0.5000 0.5000 0.0000 Sn
```

## Properties
E_form in eV per atom: -0.04